[1]
Entry from the Alexandria database: NbTlRh2 after structural relaxation (PBE-GGA). Values from VASP.

Cell and atoms, written as Quantum ESPRESSO input:
```
&SYSTEM
  ibrav = 0, nat = 8, ntyp = 3
/
ATOMIC_SPECIES
Nb 92.91 Nb.upf
Rh 102.91 Rh.upf
Tl 204.38 Tl.upf
ATOMIC_POSITIONS angstrom
Nb 0.723 -8.001 -1.918
Nb -0.830 -5.072 0.167
Rh 0.867 -8.147 0.561
Rh 0.014 -12.795 1.105
Rh 0.361 -5.540 -1.966
Rh -0.621 -4.821 2.633
Tl -0.412 -7.651 3.084
Tl 0.000 0.000 0.000
CELL_PARAMETERS angstrom
-1.965 -4.722 5.170
0.306 -5.422 -4.836
1.970 -5.508 0.833
```

The calculation puts the density of states at the Fermi level at 0.482 states/eV per atom. Its energy relative to the elements is 0.82 eV/f.u.

---

[2]
Entry from the Alexandria database: Nb2TlRh after structural relaxation (PBE-GGA). Values from VASP.

Cell and atoms, written as Quantum ESPRESSO input:
```
&SYSTEM
  ibrav = 0, nat = 8, ntyp = 3
/
ATOMIC_SPECIES
Nb 92.91 Nb.upf
Rh 102.91 Rh.upf
Tl 204.38 Tl.upf
ATOMIC_POSITIONS angstrom
Nb -0.331 2.456 8.333
Nb -0.723 -0.679 3.884
Nb 1.671 0.682 3.569
Nb 0.849 0.821 10.236
Rh 1.560 1.493 6.353
Rh 1.162 -1.633 1.894
Tl -0.828 0.147 6.657
Tl 0.000 0.000 0.000
CELL_PARAMETERS angstrom
-1.226 -2.979 2.199
3.550 -0.287 1.590
-1.591 4.907 9.222
```

The calculation puts the density of states at the Fermi level at 1.070 states/eV per atom. For the energy above the lowest structure with this stoichiometry, the calculation gives 162 meV/atom. Its energy relative to the elements is 1.96 eV/f.u.

---

[3]
Entry from the Alexandria database: NbTlRh2 after structural relaxation (PBE-GGA). Values from VASP.

Cell and atoms, written as Quantum ESPRESSO input:
```
&SYSTEM
  ibrav = 0, nat = 4, ntyp = 3
/
ATOMIC_SPECIES
Rh 102.91 Rh.upf
Nb 92.91 Nb.upf
Tl 204.38 Tl.upf
ATOMIC_POSITIONS angstrom
Rh 0.000 0.000 1.445
Rh 0.000 0.000 5.431
Nb 1.610 1.610 0.000
Tl 1.610 1.610 3.438
CELL_PARAMETERS angstrom
3.221 0.000 0.000
0.000 3.221 0.000
0.000 0.000 6.876
```

The calculation puts the density of states at the Fermi level at 0.943 states/eV per atom. Its energy relative to the elements is -0.62 eV/f.u.

---

[4]
Entry from the Alexandria database: NbTl2Rh after structural relaxation (PBE-GGA). Values from VASP.

Cell and atoms, written as Quantum ESPRESSO input:
```
&SYSTEM
  ibrav = 0, nat = 8, ntyp = 3
/
ATOMIC_SPECIES
Tl 204.38 Tl.upf
Rh 102.91 Rh.upf
Nb 92.91 Nb.upf
ATOMIC_POSITIONS angstrom
Tl 1.761 5.754 0.728
Tl 9.590 9.747 2.183
Tl 5.754 5.597 2.183
Tl 5.911 1.918 0.728
Rh 7.672 3.836 1.455
Rh 0.000 0.000 0.000
Nb 3.836 3.836 0.000
Nb 3.836 7.672 1.455
CELL_PARAMETERS angstrom
7.672 0.000 0.000
0.000 7.672 0.000
3.836 3.836 2.910
```

The calculation puts the density of states at the Fermi level at 0.766 states/eV per atom. For the energy above the lowest structure with this stoichiometry, the calculation gives 171 meV/atom. Its energy relative to the elements is 2.32 eV/f.u.

---

[5]
Entry from the Alexandria database: NbTl2Rh after structural relaxation (PBE-GGA). Values from VASP.

Cell and atoms, written as Quantum ESPRESSO input:
```
&SYSTEM
  ibrav = 0, nat = 4, ntyp = 3
/
ATOMIC_SPECIES
Tl 204.38 Tl.upf
Nb 92.91 Nb.upf
Rh 102.91 Rh.upf
ATOMIC_POSITIONS angstrom
Tl 5.099 5.099 5.099
Tl 1.700 1.700 1.700
Nb 0.000 0.000 0.000
Rh 3.399 3.399 3.399
CELL_PARAMETERS angstrom
0.000 3.399 3.399
3.399 0.000 3.399
3.399 3.399 0.000
```

The calculation puts the density of states at the Fermi level at 0.691 states/eV per atom. For the energy above the lowest structure with this stoichiometry, the calculation gives 0 meV/atom. Its energy relative to the elements is 1.63 eV/f.u.

---

[6]
Entry from the Alexandria database: UNbRh2 after structural relaxation (PBE-GGA). Values from VASP.

Cell and atoms, written as Quantum ESPRESSO input:
```
&SYSTEM
  ibrav = 0, nat = 4, ntyp = 3
/
ATOMIC_SPECIES
U 238.03 U.upf
Rh 102.91 Rh.upf
Nb 92.91 Nb.upf
ATOMIC_POSITIONS angstrom
U 2.010 0.000 0.000
Rh 0.000 0.000 2.073
Rh 0.000 2.073 0.000
Nb 2.010 2.073 2.073
CELL_PARAMETERS angstrom
4.020 0.000 0.000
0.000 4.145 0.000
0.000 0.000 4.145
```

The calculation puts the density of states at the Fermi level at 1.432 states/eV per atom. Its energy relative to the elements is -1.47 eV/f.u.

---

[7]
Entry from the Alexandria database: U4NbRh12 after structural relaxation (PBE-GGA). Values from VASP.

Cell and atoms, written as Quantum ESPRESSO input:
```
&SYSTEM
  ibrav = 0, nat = 17, ntyp = 3
/
ATOMIC_SPECIES
U 238.03 U.upf
Rh 102.91 Rh.upf
Nb 92.91 Nb.upf
ATOMIC_POSITIONS angstrom
U 3.566 -0.566 -0.015
U -1.451 -1.543 2.924
U -1.460 -1.441 -2.971
U 0.655 -3.550 -0.062
Rh -4.093 -4.197 -0.066
Rh 2.962 -2.822 -4.199
Rh 3.168 -3.112 1.416
Rh 0.659 -3.600 2.885
Rh 2.974 -2.965 4.091
Rh 0.651 -3.499 -3.009
Rh 1.250 -1.191 -1.772
Rh -1.728 -1.771 -0.028
Rh 1.255 -1.252 1.727
Rh 3.163 -3.061 -1.531
Rh -1.853 -4.038 1.407
Rh -1.857 -3.987 -1.540
Nb 0.000 0.000 0.000
CELL_PARAMETERS angstrom
-2.902 -3.086 5.847
-2.919 -2.882 -5.942
7.131 -1.131 -0.030
```

The calculation puts the density of states at the Fermi level at 1.107 states/eV per atom. Its energy relative to the elements is -8.26 eV/f.u.

---

[8]
Entry from the Alexandria database: Nb6VRh2 after structural relaxation (PBE-GGA). Values from VASP.

Cell and atoms, written as Quantum ESPRESSO input:
```
&SYSTEM
  ibrav = 0, nat = 9, ntyp = 3
/
ATOMIC_SPECIES
Rh 102.91 Rh.upf
Nb 92.91 Nb.upf
V 50.94 V.upf
ATOMIC_POSITIONS angstrom
Rh 0.167 0.000 4.325
Rh 2.207 3.103 2.257
Nb 0.082 4.701 2.135
Nb 2.117 1.542 -0.082
Nb 2.117 4.664 -0.082
Nb 2.292 -1.597 4.446
Nb 0.082 1.506 2.135
Nb 2.292 1.597 4.446
V 0.000 0.000 0.000
CELL_PARAMETERS angstrom
4.233 0.000 -0.165
0.000 6.207 0.000
-1.860 -3.103 6.747
```

The calculation puts the density of states at the Fermi level at 1.027 states/eV per atom. Its energy relative to the elements is 3.02 eV/f.u.

---

[9]
Entry from the Alexandria database: NbV6Rh5 after structural relaxation (PBE-GGA). Values from VASP.

Cell and atoms, written as Quantum ESPRESSO input:
```
&SYSTEM
  ibrav = 0, nat = 12, ntyp = 3
/
ATOMIC_SPECIES
V 50.94 V.upf
Rh 102.91 Rh.upf
Nb 92.91 Nb.upf
ATOMIC_POSITIONS angstrom
V -4.317 1.961 1.346
V -1.431 6.102 2.479
V -4.485 4.974 -0.453
V -1.594 5.037 -0.618
V -4.480 0.895 -1.750
V -1.426 2.024 1.182
Rh -3.008 2.746 -0.838
Rh -2.904 4.252 1.567
Rh -0.120 2.864 -1.003
Rh -5.792 4.133 1.731
Rh -2.889 -0.063 0.164
Nb 0.000 0.000 0.000
CELL_PARAMETERS angstrom
-0.271 1.980 -3.995
-5.779 -0.126 0.329
0.138 5.144 4.395
```

The calculation puts the density of states at the Fermi level at 1.067 states/eV per atom. Its energy relative to the elements is -3.25 eV/f.u.

---

[10]
Entry from the Alexandria database: NbVRh after structural relaxation (PBE-GGA). Values from VASP.

Cell and atoms, written as Quantum ESPRESSO input:
```
&SYSTEM
  ibrav = 0, nat = 6, ntyp = 3
/
ATOMIC_SPECIES
V 50.94 V.upf
Nb 92.91 Nb.upf
Rh 102.91 Rh.upf
ATOMIC_POSITIONS angstrom
V 0.000 0.000 3.445
V 1.869 1.869 3.445
Nb 1.869 0.000 5.886
Nb 0.000 1.869 1.005
Rh 1.869 0.000 1.542
Rh 0.000 1.869 5.349
CELL_PARAMETERS angstrom
3.738 0.000 0.000
0.000 3.738 0.000
0.000 0.000 6.891
```

The calculation puts the density of states at the Fermi level at 1.191 states/eV per atom. For the energy above the lowest structure with this stoichiometry, the calculation gives 239 meV/atom. Its energy relative to the elements is -0.26 eV/f.u.

---

| no. | M_tot (μB/f.u.) | final energy (eV per atom) |
| --- | --- | --- |
| 1 | 0.00 | -6.580 |
| 2 | 0.00 | -6.973 |
| 3 | 0.00 | -6.940 |
| 4 | 0.00 | -4.960 |
| 5 | 1.95 | -5.131 |
| 6 | 0.00 | -9.383 |
| 7 | 3.04 | -8.924 |
| 8 | 0.00 | -9.025 |
| 9 | 0.00 | -8.732 |
| 10 | 0.00 | -8.934 |